Na3NiB2O6 | PBE+U | optimized geometry

## Properties
excess energy over the best structure of this formula in the dataset = 0.0 meV/atom
electronic total energy = -5.973 eV per atom
N(E_F) = 9.27 states/eV/cell

The structure in POSCAR format:
```
Na3NiB2O6
1.0
-6.7614 -0.6961 6.2815
3.3278 -3.0379 3.2454
6.3189 5.9933 7.4659
Na Ni B O
12 4 8 24
Direct
0.9424 0.4764 0.3813 Na
0.6344 0.4495 0.3731 Na
0.9573 0.9567 0.8704 Na
0.1344 0.5505 0.1269 Na
0.4424 0.5236 0.1187 Na
0.4573 0.0433 0.6296 Na
0.5427 0.9567 0.3704 Na
0.5576 0.4764 0.8813 Na
0.8656 0.4495 0.8731 Na
0.0427 0.0433 0.1296 Na
0.3656 0.5505 0.6269 Na
0.0576 0.5236 0.6187 Na
0.2840 0.0302 0.8787 Ni
0.7840 0.9698 0.6213 Ni
0.2160 0.0302 0.3787 Ni
0.7160 0.9698 0.1213 Ni
0.3013 0.4656 0.3839 B
0.6369 0.9596 0.8662 B
0.8013 0.5344 0.1161 B
0.1369 0.0404 0.6338 B
0.8631 0.9596 0.3662 B
0.1987 0.4656 0.8839 B
0.3631 0.0404 0.1338 B
0.6987 0.5344 0.6161 B
0.3059 0.8867 0.0772 O
0.6701 0.3143 0.5938 O
0.9061 0.7239 0.1024 O
0.6671 0.5924 0.1510 O
0.2329 0.1686 0.6825 O
0.9912 0.0884 0.6422 O
0.1671 0.4076 0.3490 O
0.4912 0.9116 0.8578 O
0.4061 0.2761 0.3976 O
0.7329 0.8314 0.8175 O
0.8059 0.1133 0.4228 O
0.1701 0.6857 0.9062 O
0.8299 0.3143 0.0938 O
0.1941 0.8867 0.5772 O
0.2671 0.1686 0.1825 O
0.5939 0.7239 0.6024 O
0.5088 0.0884 0.1422 O
0.8329 0.5924 0.6510 O
0.0088 0.9116 0.3578 O
0.7671 0.8314 0.3175 O
0.3329 0.4076 0.8490 O
0.0939 0.2761 0.8976 O
0.3299 0.6857 0.4062 O
0.6941 0.1133 0.9228 O
```